(1)
Entry from Alexandria: a geometry-optimized LiZr2Be2 structure (PBE).

Geometry as POSCAR:
```
LiZr2Be2
1.0
7.269 0.000 0.000
0.000 7.269 0.000
0.000 0.000 3.064
Li Zr Be
2 4 4
direct
0.000 0.000 0.000
0.500 0.500 0.000
0.180 0.320 0.500
0.320 0.820 0.500
0.680 0.180 0.500
0.820 0.680 0.500
0.108 0.608 0.000
0.392 0.108 0.000
0.608 0.892 0.000
0.892 0.392 0.000
```

## Properties
- D(E_F): 6.3 states/eV per cell
- Space-group type: No. 127
- Total magnetization: 0.0000 μB per atom
- Uncorrected energy: -0.3835 Ry/atom

=====

(2)
Entry from Alexandria: a geometry-optimized LiZrBe2 structure (PBE).

Geometry as POSCAR:
```
LiZrBe2
1.0
0.000 3.004 3.004
3.004 0.000 3.004
3.004 3.004 0.000
Li Zr Be
1 1 2
direct
0.000 0.000 0.000
0.500 0.500 0.500
0.250 0.250 0.250
0.750 0.750 0.750
```

## Properties
- Offset from the most stable computed form: 4 meV/atom
- D(E_F): 2.1 states/eV per cell
- Space-group type: No. 225
- Total magnetization: 0.0000 μB per atom
- Uncorrected energy: -0.3207 Ry/atom

=====

(3)
Entry from Alexandria: a geometry-optimized Li2ZrBe structure (PBE).

Geometry as POSCAR:
```
Li2ZrBe
1.0
3.733 0.000 0.000
0.000 3.733 0.000
0.000 0.000 4.818
Li Zr Be
2 1 1
direct
0.000 0.500 0.000
0.500 0.000 0.000
0.000 0.000 0.500
0.500 0.500 0.500
```

## Properties
- D(E_F): 3.7 states/eV per cell
- Space-group type: No. 123
- Total magnetization: 0.2688 μB per atom
- Uncorrected energy: -0.2708 Ry/atom

=====

(4)
Entry from Alexandria: a geometry-optimized LiZrBe10 structure (PBE).

Geometry as POSCAR:
```
LiZrBe10
1.0
3.556 0.000 0.000
0.000 4.379 0.000
0.000 0.000 7.753
Li Zr Be
1 1 10
direct
0.000 0.000 0.000
0.000 0.500 0.500
0.000 0.000 0.310
0.000 0.000 0.690
0.000 0.500 0.157
0.000 0.500 0.843
0.500 0.000 0.500
0.500 0.259 0.255
0.500 0.259 0.745
0.500 0.500 0.000
0.500 0.741 0.255
0.500 0.741 0.745
```

## Properties
- D(E_F): 3.8 states/eV per cell
- Space-group type: No. 47
- Total magnetization: 0.0000 μB per atom
- Uncorrected energy: -0.3006 Ry/atom

=====

(5)
Entry from Alexandria: a geometry-optimized LiZrBe2 structure (PBE).

Geometry as POSCAR:
```
LiZrBe2
1.0
5.288 -1.353 0.000
5.288 1.353 0.000
-1.778 0.000 4.002
Li Zr Be
1 1 2
direct
0.000 0.000 0.000
0.795 0.795 0.298
0.227 0.227 0.732
0.555 0.555 0.555
```

## Properties
- Offset from the most stable computed form: 85 meV/atom
- D(E_F): 2.5 states/eV per cell
- Space-group type: No. 8
- Total magnetization: 0.0002 μB per atom
- Uncorrected energy: -0.3147 Ry/atom

=====

(6)
Entry from Alexandria: a geometry-optimized Li2ZrBe structure (PBE).

Geometry as POSCAR:
```
Li2ZrBe
1.0
1.759 -2.158 0.000
1.759 2.158 0.000
0.000 0.000 8.614
Li Zr Be
2 1 1
direct
0.000 0.000 0.201
0.000 0.000 0.799
0.500 0.500 0.500
0.500 0.500 0.000
```

## Properties
- D(E_F): 1.9 states/eV per cell
- Space-group type: No. 65
- Total magnetization: 0.0000 μB per atom
- Uncorrected energy: -0.2692 Ry/atom

=====

(7)
Entry from Alexandria: a geometry-optimized Li2ZrBe2 structure (PBE).

Geometry as POSCAR:
```
Li2ZrBe2
1.0
-1.774 1.774 5.823
1.774 -1.774 5.823
1.774 1.774 -5.823
Li Zr Be
2 1 2
direct
0.250 0.750 0.500
0.750 0.250 0.500
0.000 0.000 0.000
0.410 0.410 0.000
0.590 0.590 0.000
```

## Properties
- D(E_F): 4.6 states/eV per cell
- Space-group type: No. 139
- Total magnetization: 0.0000 μB per atom
- Uncorrected energy: -0.2778 Ry/atom

=====

(8)
Entry from Alexandria: a geometry-optimized LiZr4Be structure (PBE).

Geometry as POSCAR:
```
LiZr4Be
1.0
0.000 4.055 4.055
4.055 0.000 4.055
4.055 4.055 0.000
Li Zr Be
1 4 1
direct
0.000 0.000 0.000
0.127 0.624 0.624
0.624 0.127 0.624
0.624 0.624 0.127
0.624 0.624 0.624
0.250 0.250 0.250
```

## Properties
- D(E_F): 5.0 states/eV per cell
- Space-group type: No. 216
- Total magnetization: 0.0000 μB per atom
- Uncorrected energy: -0.4388 Ry/atom

=====

(9)
Entry from Alexandria: a geometry-optimized LiZrBe2 structure (PBE).

Geometry as POSCAR:
```
LiZrBe2
1.0
2.754 0.000 0.000
0.000 3.907 0.000
-1.362 0.000 5.234
Li Zr Be
1 1 2
direct
0.000 0.000 0.000
0.692 0.500 0.381
0.307 0.000 0.613
0.414 0.500 0.829
```

## Properties
- Offset from the most stable computed form: 49 meV/atom
- D(E_F): 1.4 states/eV per cell
- Space-group type: No. 6
- Total magnetization: 0.0000 μB per atom
- Uncorrected energy: -0.3174 Ry/atom

=====

(10)
Entry from Alexandria: a geometry-optimized Li2ZrBe structure (PBE).

Geometry as POSCAR:
```
Li2ZrBe
1.0
2.674 0.000 0.000
0.000 4.210 0.000
0.000 0.000 5.655
Li Zr Be
2 1 1
direct
0.000 0.000 0.207
0.000 0.000 0.793
0.500 0.500 0.500
0.500 0.500 0.000
```

## Properties
- D(E_F): 1.4 states/eV per cell
- Space-group type: No. 47
- Total magnetization: 0.0000 μB per atom
- Uncorrected energy: -0.2701 Ry/atom

=====

(11)
Entry from Alexandria: a geometry-optimized Li2ZrBe structure (PBE).

Geometry as POSCAR:
```
Li2ZrBe
1.0
-1.849 1.849 9.765
1.849 -1.849 9.765
1.849 1.849 -9.765
Li Zr Be
4 2 2
direct
0.067 0.125 0.442
0.375 0.933 0.058
0.683 0.625 0.558
0.875 0.317 0.942
0.250 0.750 0.500
0.500 0.500 0.000
0.000 0.000 0.000
0.750 0.250 0.500
```

## Properties
- D(E_F): 4.1 states/eV per cell
- Space-group type: No. 122
- Total magnetization: 0.1293 μB per atom
- Uncorrected energy: -0.2652 Ry/atom

=====

(12)
Entry from Alexandria: a geometry-optimized LuBe13 structure (PBE).

Geometry as POSCAR:
```
LuBe13
1.0
0.000 5.057 5.057
5.057 0.000 5.057
5.057 5.057 0.000
Lu Be
2 26
direct
0.250 0.250 0.250
0.750 0.750 0.750
0.000 0.000 0.000
0.063 0.291 0.709
0.063 0.709 0.937
0.063 0.937 0.291
0.209 0.437 0.791
0.209 0.563 0.437
0.209 0.791 0.563
0.291 0.063 0.937
0.291 0.709 0.063
0.291 0.937 0.709
0.437 0.209 0.563
0.437 0.563 0.791
0.437 0.791 0.209
0.500 0.500 0.500
0.563 0.209 0.791
0.563 0.437 0.209
0.563 0.791 0.437
0.709 0.063 0.291
0.709 0.291 0.937
0.709 0.937 0.063
0.791 0.209 0.437
0.791 0.437 0.563
0.791 0.563 0.209
0.937 0.063 0.709
0.937 0.291 0.063
0.937 0.709 0.291
```

## Properties
- D(E_F): 5.5 states/eV per cell
- Space-group type: No. 226
- Total magnetization: 0.0000 μB per atom
- Uncorrected energy: -0.2922 Ry/atom

=====

(13)
Entry from Alexandria: a geometry-optimized LuBe structure (PBE).

Geometry as POSCAR:
```
LuBe
1.0
3.332 0.000 0.000
0.000 3.332 0.000
0.000 0.000 3.332
Lu Be
1 1
direct
0.000 0.000 0.000
0.500 0.500 0.500
```

## Properties
- D(E_F): 1.8 states/eV per cell
- Space-group type: No. 221
- Total magnetization: 0.0000 μB per atom
- Uncorrected energy: -0.2994 Ry/atom

=====

(14)
Entry from Alexandria: a geometry-optimized LuBe2 structure (PBE).

Geometry as POSCAR:
```
LuBe2
1.0
2.119 -2.121 0.000
2.119 2.121 0.000
-2.104 0.000 4.926
Lu Be
1 2
direct
0.000 0.000 0.000
0.296 0.296 0.592
0.704 0.704 0.408
```

## Properties
- D(E_F): 2.1 states/eV per cell
- Space-group type: No. 12
- Total magnetization: 0.0000 μB per atom
- Uncorrected energy: -0.2770 Ry/atom

=====

(15)
Entry from Alexandria: a geometry-optimized LuBe structure (PBE).

Geometry as POSCAR:
```
LuBe
1.0
1.771 -5.405 0.000
1.771 5.405 0.000
0.000 0.000 4.002
Lu Be
2 2
direct
0.146 0.854 0.750
0.854 0.146 0.250
0.445 0.555 0.750
0.555 0.445 0.250
```

## Properties
- D(E_F): 4.0 states/eV per cell
- Space-group type: No. 63
- Total magnetization: 0.0001 μB per atom
- Uncorrected energy: -0.2992 Ry/atom

=====

(16)
Entry from Alexandria: a geometry-optimized LuBe3 structure (PBE).

Geometry as POSCAR:
```
LuBe3
1.0
2.994 0.000 0.000
0.000 3.512 0.000
0.000 0.000 5.387
Lu Be
1 3
direct
0.000 0.000 0.000
0.000 0.500 0.530
0.500 0.000 0.486
0.500 0.500 0.256
```

## Properties
- D(E_F): 1.7 states/eV per cell
- Space-group type: No. 25
- Total magnetization: 0.0000 μB per atom
- Uncorrected energy: -0.2663 Ry/atom

=====

(17)
Entry from Alexandria: a geometry-optimized LuBe2 structure (PBE).

Geometry as POSCAR:
```
LuBe2
1.0
0.000 3.502 3.502
3.502 0.000 3.502
3.502 3.502 0.000
Lu Be
2 4
direct
0.125 0.125 0.125
0.875 0.875 0.875
0.000 0.500 0.500
0.500 0.000 0.500
0.500 0.500 0.000
0.500 0.500 0.500
```

## Properties
- D(E_F): 3.1 states/eV per cell
- Space-group type: No. 227
- Total magnetization: 0.0369 μB per atom
- Uncorrected energy: -0.2818 Ry/atom

=====

(18)
Entry from Alexandria: a geometry-optimized NdLuMgBe structure (PBE).

Geometry as POSCAR:
```
NdLuMgBe
1.0
0.000 3.620 3.620
3.620 0.000 3.620
3.620 3.620 0.000
Nd Lu Mg Be
1 1 1 1
direct
0.000 0.000 0.000
0.500 0.500 0.500
0.750 0.750 0.750
0.250 0.250 0.250
```

## Properties
- D(E_F): 4.1 states/eV per cell
- Space-group type: No. 216
- Total magnetization: 0.0001 μB per atom
- Uncorrected energy: -0.2606 Ry/atom

=====

(19)
Entry from Alexandria: a geometry-optimized LuMgBePd structure (PBE).

Geometry as POSCAR:
```
LuMgBePd
1.0
0.000 3.280 3.280
3.280 0.000 3.280
3.280 3.280 0.000
Lu Mg Be Pd
1 1 1 1
direct
0.000 0.000 0.000
0.500 0.500 0.500
0.750 0.750 0.750
0.250 0.250 0.250
```

## Properties
- D(E_F): 2.6 states/eV per cell
- Space-group type: No. 216
- Total magnetization: 0.0000 μB per atom
- Uncorrected energy: -0.2995 Ry/atom

=====

(20)
Entry from Alexandria: a geometry-optimized PmLuMgBe structure (PBE).

Geometry as POSCAR:
```
PmLuMgBe
1.0
0.000 3.607 3.607
3.607 0.000 3.607
3.607 3.607 0.000
Pm Lu Mg Be
1 1 1 1
direct
0.000 0.000 0.000
0.500 0.500 0.500
0.750 0.750 0.750
0.250 0.250 0.250
```

## Properties
- D(E_F): 4.0 states/eV per cell
- Space-group type: No. 216
- Total magnetization: 0.0002 μB per atom
- Uncorrected energy: -0.2607 Ry/atom

=====

(21)
Entry from Alexandria: a geometry-optimized LuMgScBe structure (PBE).

Geometry as POSCAR:
```
LuMgScBe
1.0
0.000 3.456 3.456
3.456 0.000 3.456
3.456 3.456 0.000
Lu Mg Sc Be
1 1 1 1
direct
0.000 0.000 0.000
0.750 0.750 0.750
0.500 0.500 0.500
0.250 0.250 0.250
```

## Properties
- D(E_F): 3.6 states/eV per cell
- Space-group type: No. 216
- Total magnetization: 0.0001 μB per atom
- Uncorrected energy: -0.2911 Ry/atom

=====

(22)
Entry from Alexandria: a geometry-optimized SmLuMgBe structure (PBE).

Geometry as POSCAR:
```
SmLuMgBe
1.0
0.000 3.597 3.597
3.597 0.000 3.597
3.597 3.597 0.000
Sm Lu Mg Be
1 1 1 1
direct
0.000 0.000 0.000
0.500 0.500 0.500
0.750 0.750 0.750
0.250 0.250 0.250
```

## Properties
- D(E_F): 4.0 states/eV per cell
- Space-group type: No. 216
- Total magnetization: 0.0000 μB per atom
- Uncorrected energy: -0.2602 Ry/atom

=====

(23)
Entry from Alexandria: a geometry-optimized TbLuMgBe structure (PBE).

Geometry as POSCAR:
```
TbLuMgBe
1.0
0.000 3.570 3.570
3.570 0.000 3.570
3.570 3.570 0.000
Tb Lu Mg Be
1 1 1 1
direct
0.000 0.000 0.000
0.500 0.500 0.500
0.250 0.250 0.250
0.750 0.750 0.750
```

## Properties
- D(E_F): 3.9 states/eV per cell
- Space-group type: No. 216
- Total magnetization: 0.0000 μB per atom
- Uncorrected energy: -0.2592 Ry/atom

=====

(24)
Entry from Alexandria: a geometry-optimized TmLuMgBe structure (PBE).

Geometry as POSCAR:
```
TmLuMgBe
1.0
0.000 3.541 3.541
3.541 0.000 3.541
3.541 3.541 0.000
Tm Lu Mg Be
1 1 1 1
direct
0.000 0.000 0.000
0.500 0.500 0.500
0.250 0.250 0.250
0.750 0.750 0.750
```

## Properties
- D(E_F): 3.7 states/eV per cell
- Space-group type: No. 216
- Total magnetization: 0.0000 μB per atom
- Uncorrected energy: -0.2563 Ry/atom

=====

(25)
Entry from Alexandria: a geometry-optimized YLuMgBe structure (PBE).

Geometry as POSCAR:
```
YLuMgBe
1.0
0.000 3.571 3.571
3.571 0.000 3.571
3.571 3.571 0.000
Y Lu Mg Be
1 1 1 1
direct
0.000 0.000 0.000
0.500 0.500 0.500
0.750 0.750 0.750
0.250 0.250 0.250
```

## Properties
- D(E_F): 3.7 states/eV per cell
- Space-group type: No. 216
- Total magnetization: 0.0000 μB per atom
- Uncorrected energy: -0.2937 Ry/atom

=====

(26)
Entry from Alexandria: a geometry-optimized LuMgBeZn structure (PBE).

Geometry as POSCAR:
```
LuMgBeZn
1.0
0.000 3.285 3.285
3.285 0.000 3.285
3.285 3.285 0.000
Lu Mg Be Zn
1 1 1 1
direct
0.000 0.000 0.000
0.500 0.500 0.500
0.250 0.250 0.250
0.750 0.750 0.750
```

## Properties
- D(E_F): 1.8 states/eV per cell
- Space-group type: No. 216
- Total magnetization: 0.0000 μB per atom
- Uncorrected energy: -0.2105 Ry/atom

=====

(27)
Entry from Alexandria: a geometry-optimized LuMnBe4 structure (PBE).

Geometry as POSCAR:
```
LuMnBe4
1.0
0.000 3.248 3.248
3.248 0.000 3.248
3.248 3.248 0.000
Lu Mn Be
1 1 4
direct
0.000 0.000 0.000
0.250 0.250 0.250
0.134 0.622 0.622
0.622 0.134 0.622
0.622 0.622 0.134
0.622 0.622 0.622
```

## Properties
- D(E_F): 3.2 states/eV per cell
- Space-group type: No. 216
- Total magnetization: 0.3331 μB per atom
- Uncorrected energy: -0.3553 Ry/atom

=====

(28)
Entry from Alexandria: a geometry-optimized Lu2MnBe structure (PBE).

Geometry as POSCAR:
```
Lu2MnBe
1.0
3.348 0.000 0.000
0.000 3.348 0.000
0.000 0.000 6.877
Lu Mn Be
2 1 1
direct
0.000 0.000 0.240
0.000 0.000 0.760
0.500 0.500 0.500
0.500 0.500 0.000
```

## Properties
- D(E_F): 4.0 states/eV per cell
- Space-group type: No. 123
- Total magnetization: 0.7326 μB per atom
- Uncorrected energy: -0.3956 Ry/atom